Entry 1:
! Ba2Nd2Pd15 | Alexandria via LeMat-Bulk | GGA-PBE | optimized geometry; values from VASP
! total energy = -5.259 eV per atom
! total magnetic moment = 0.00 μB per cell
! E_form = -0.455 eV/atom
! space group = R-3m
&SYSTEM
  ibrav = 0, nat = 19, ntyp = 3
/
ATOMIC_SPECIES
Ba 137.33 Ba.upf
Nd 144.24 Nd.upf
Pd 106.42 Pd.upf
CELL_PARAMETERS angstrom
4.770 2.754 4.742
-4.770 2.754 4.742
0.000 -5.508 4.742
ATOMIC_POSITIONS crystal
Ba 0.140 0.140 0.140
Ba 0.860 0.860 0.860
Nd 0.389 0.389 0.389
Nd 0.611 0.611 0.611
Pd 0.000 0.500 0.500
Pd 0.153 0.153 0.655
Pd 0.153 0.655 0.153
Pd 0.204 0.500 0.796
Pd 0.204 0.796 0.500
Pd 0.345 0.847 0.847
Pd 0.500 0.000 0.500
Pd 0.500 0.204 0.796
Pd 0.500 0.500 0.000
Pd 0.500 0.796 0.204
Pd 0.655 0.153 0.153
Pd 0.796 0.204 0.500
Pd 0.796 0.500 0.204
Pd 0.847 0.345 0.847
Pd 0.847 0.847 0.345

Entry 2:
! Ba2NdSb4Pd3 | Alexandria via LeMat-Bulk | GGA-PBE | optimized geometry; values from VASP
! total energy = -4.917 eV per atom
! raw formation energy = -849 meV per atom
! total magnetic moment = 0.00 μB per cell
! space group = P-4m2
&SYSTEM
  ibrav = 0, nat = 10, ntyp = 4
/
ATOMIC_SPECIES
Ba 137.33 Ba.upf
Nd 144.24 Nd.upf
Sb 121.76 Sb.upf
Pd 106.42 Pd.upf
CELL_PARAMETERS angstrom
4.787 0.000 0.000
0.000 4.787 0.000
0.000 0.000 12.095
ATOMIC_POSITIONS crystal
Ba 0.000 0.500 0.232
Ba 0.500 0.000 0.768
Nd 0.000 0.000 0.500
Sb 0.000 0.000 0.000
Sb 0.000 0.500 0.657
Sb 0.500 0.000 0.343
Sb 0.500 0.500 0.000
Pd 0.000 0.500 0.888
Pd 0.500 0.000 0.112
Pd 0.500 0.500 0.500

Entry 3:
! BaNdSb2Pd5 | Alexandria via LeMat-Bulk | GGA-PBE | optimized geometry; values from VASP
! total energy = -5.083 eV per atom
! raw formation energy = -539 meV per atom
! total magnetic moment = 0.00 μB per cell
! space group = P4/mmm
&SYSTEM
  ibrav = 0, nat = 9, ntyp = 4
/
ATOMIC_SPECIES
Ba 137.33 Ba.upf
Nd 144.24 Nd.upf
Sb 121.76 Sb.upf
Pd 106.42 Pd.upf
CELL_PARAMETERS angstrom
5.035 0.000 0.000
0.000 5.035 0.000
0.000 0.000 9.384
ATOMIC_POSITIONS crystal
Ba 0.000 0.000 0.000
Nd 0.000 0.000 0.500
Sb 0.500 0.500 0.273
Sb 0.500 0.500 0.727
Pd 0.000 0.500 0.335
Pd 0.000 0.500 0.665
Pd 0.500 0.000 0.335
Pd 0.500 0.000 0.665
Pd 0.500 0.500 0.000

Entry 4:
! BaNdSn2Pd5 | Alexandria via LeMat-Bulk | GGA-PBE | optimized geometry; values from VASP
! total energy = -5.054 eV per atom
! total magnetic moment = 0.00 μB per cell
! E_form = -0.536 eV/atom
! space group = P4/mmm
&SYSTEM
  ibrav = 0, nat = 9, ntyp = 4
/
ATOMIC_SPECIES
Ba 137.33 Ba.upf
Nd 144.24 Nd.upf
Sn 118.71 Sn.upf
Pd 106.42 Pd.upf
CELL_PARAMETERS angstrom
4.778 0.000 0.000
0.000 4.778 0.000
0.000 0.000 8.907
ATOMIC_POSITIONS crystal
Ba 0.000 0.000 0.000
Nd 0.000 0.000 0.500
Sn 0.500 0.500 0.341
Sn 0.500 0.500 0.659
Pd 0.000 0.500 0.228
Pd 0.000 0.500 0.772
Pd 0.500 0.000 0.228
Pd 0.500 0.000 0.772
Pd 0.500 0.500 0.000

Entry 5:
! BaPmNd2 | Alexandria via LeMat-Bulk | GGA-PBE | optimized geometry; values from VASP
! excess energy over the best structure of this formula in the dataset = 0.00 kJ/mol of atoms
! total energy = -3.945 eV per atom
! total magnetic moment = 0.00 μB per cell
! E_form = 0.108 eV/atom
! space group = P4/mmm
&SYSTEM
  ibrav = 0, nat = 4, ntyp = 3
/
ATOMIC_SPECIES
Ba 137.33 Ba.upf
Pm 145.00 Pm.upf
Nd 144.24 Nd.upf
CELL_PARAMETERS angstrom
3.785 0.000 0.000
0.000 3.785 0.000
0.000 0.000 11.062
ATOMIC_POSITIONS crystal
Ba 0.000 0.000 0.000
Pm 0.000 0.000 0.500
Nd 0.500 0.500 0.280
Nd 0.500 0.500 0.720

Entry 6:
! BaPmNd2 | Alexandria via LeMat-Bulk | GGA-PBE | optimized geometry; values from VASP
! excess energy over the best structure of this formula in the dataset = 7.86 kJ/mol of atoms
! total energy = -3.863 eV per atom
! total magnetic moment = 0.00 μB per cell
! E_form = 0.189 eV/atom
! space group = R-3m
&SYSTEM
  ibrav = 0, nat = 12, ntyp = 3
/
ATOMIC_SPECIES
Ba 137.33 Ba.upf
Pm 145.00 Pm.upf
Nd 144.24 Nd.upf
CELL_PARAMETERS angstrom
3.712 0.000 0.000
-1.856 3.214 0.000
0.000 0.000 39.660
ATOMIC_POSITIONS crystal
Ba 0.000 0.000 0.000
Ba 0.333 0.667 0.667
Ba 0.667 0.333 0.333
Pm 0.000 0.000 0.500
Pm 0.333 0.667 0.167
Pm 0.667 0.333 0.833
Nd 0.000 0.000 0.093
Nd 0.000 0.000 0.907
Nd 0.333 0.667 0.574
Nd 0.333 0.667 0.760
Nd 0.667 0.333 0.240
Nd 0.667 0.333 0.426

Entry 7:
! BaPmNd | Alexandria via LeMat-Bulk | GGA-PBE | optimized geometry; values from VASP
! excess energy over the best structure of this formula in the dataset = 0.00 kJ/mol of atoms
! total energy = -3.683 eV per atom
! total magnetic moment = 0.00 μB per cell
! E_form = 0.131 eV/atom
! space group = I4mm
&SYSTEM
  ibrav = 0, nat = 6, ntyp = 3
/
ATOMIC_SPECIES
Ba 137.33 Ba.upf
Pm 145.00 Pm.upf
Nd 144.24 Nd.upf
CELL_PARAMETERS angstrom
3.826 0.000 0.000
0.000 3.826 0.000
0.000 0.000 16.966
ATOMIC_POSITIONS crystal
Ba 0.000 0.000 0.000
Ba 0.500 0.500 0.500
Pm 0.000 0.000 0.319
Pm 0.500 0.500 0.819
Nd 0.000 0.000 0.682
Nd 0.500 0.500 0.182

Entry 8:
! BaPm2Nd | Alexandria via LeMat-Bulk | GGA-PBE | optimized geometry; values from VASP
! excess energy over the best structure of this formula in the dataset = 0.97 kJ/mol of atoms
! total energy = -3.921 eV per atom
! total magnetic moment = 0.00 μB per cell
! E_form = 0.127 eV/atom
! space group = R-3m
&SYSTEM
  ibrav = 0, nat = 12, ntyp = 3
/
ATOMIC_SPECIES
Ba 137.33 Ba.upf
Pm 145.00 Pm.upf
Nd 144.24 Nd.upf
CELL_PARAMETERS angstrom
3.779 0.000 0.000
-1.889 3.273 0.000
0.000 0.000 37.674
ATOMIC_POSITIONS crystal
Ba 0.000 0.000 0.000
Ba 0.333 0.667 0.667
Ba 0.667 0.333 0.333
Pm 0.000 0.000 0.244
Pm 0.000 0.000 0.756
Pm 0.333 0.667 0.423
Pm 0.333 0.667 0.910
Pm 0.667 0.333 0.090
Pm 0.667 0.333 0.577
Nd 0.000 0.000 0.500
Nd 0.333 0.667 0.167
Nd 0.667 0.333 0.833

Entry 9:
! BaPmNd2 | Alexandria via LeMat-Bulk | GGA-PBE | optimized geometry; values from VASP
! excess energy over the best structure of this formula in the dataset = 1.35 kJ/mol of atoms
! total energy = -3.931 eV per atom
! total magnetic moment = 0.00 μB per cell
! E_form = 0.122 eV/atom
! space group = R3m
&SYSTEM
  ibrav = 0, nat = 12, ntyp = 3
/
ATOMIC_SPECIES
Ba 137.33 Ba.upf
Pm 145.00 Pm.upf
Nd 144.24 Nd.upf
CELL_PARAMETERS angstrom
3.809 0.000 0.000
-1.904 3.299 0.000
0.000 0.000 37.609
ATOMIC_POSITIONS crystal
Ba 0.000 0.000 0.000
Ba 0.333 0.667 0.667
Ba 0.667 0.333 0.333
Pm 0.000 0.000 0.167
Pm 0.333 0.667 0.833
Pm 0.667 0.333 0.500
Nd 0.000 0.000 0.423
Nd 0.000 0.000 0.577
Nd 0.333 0.667 0.090
Nd 0.333 0.667 0.244
Nd 0.667 0.333 0.757
Nd 0.667 0.333 0.910

Entry 10:
! BaPmNd2 | Alexandria via LeMat-Bulk | GGA-PBE | optimized geometry; values from VASP
! excess energy over the best structure of this formula in the dataset = 8.17 kJ/mol of atoms
! total energy = -3.860 eV per atom
! total magnetic moment = 0.00 μB per cell
! E_form = 0.192 eV/atom
! space group = P4/mmm
&SYSTEM
  ibrav = 0, nat = 4, ntyp = 3
/
ATOMIC_SPECIES
Ba 137.33 Ba.upf
Pm 145.00 Pm.upf
Nd 144.24 Nd.upf
CELL_PARAMETERS angstrom
5.372 0.000 0.000
0.000 5.372 0.000
0.000 0.000 5.394
ATOMIC_POSITIONS crystal
Ba 0.000 0.000 0.000
Pm 0.500 0.500 0.000
Nd 0.000 0.500 0.500
Nd 0.500 0.000 0.500

Entry 11:
! BaPmNd | Alexandria via LeMat-Bulk | GGA-PBE | optimized geometry; values from VASP
! excess energy over the best structure of this formula in the dataset = 1.34 kJ/mol of atoms
! total energy = -3.669 eV per atom
! total magnetic moment = 0.00 μB per cell
! E_form = 0.145 eV/atom
! space group = P3m1
&SYSTEM
  ibrav = 0, nat = 3, ntyp = 3
/
ATOMIC_SPECIES
Ba 137.33 Ba.upf
Pm 145.00 Pm.upf
Nd 144.24 Nd.upf
CELL_PARAMETERS angstrom
3.840 0.000 0.000
-1.920 3.326 0.000
0.000 0.000 9.586
ATOMIC_POSITIONS crystal
Ba 0.000 0.000 0.000
Pm 0.667 0.333 0.352
Nd 0.333 0.667 0.646

Entry 12:
! BaPm2Nd | Alexandria via LeMat-Bulk | GGA-PBE | optimized geometry; values from VASP
! excess energy over the best structure of this formula in the dataset = 7.79 kJ/mol of atoms
! total energy = -3.850 eV per atom
! total magnetic moment = 0.00 μB per cell
! E_form = 0.198 eV/atom
! space group = P4/mmm
&SYSTEM
  ibrav = 0, nat = 4, ntyp = 3
/
ATOMIC_SPECIES
Ba 137.33 Ba.upf
Pm 145.00 Pm.upf
Nd 144.24 Nd.upf
CELL_PARAMETERS angstrom
5.379 0.000 0.000
0.000 5.379 0.000
0.000 0.000 5.348
ATOMIC_POSITIONS crystal
Ba 0.000 0.000 0.000
Pm 0.000 0.500 0.500
Pm 0.500 0.000 0.500
Nd 0.500 0.500 0.000

Among the records above, which one has the highest total energy?
number 11

What is the formula in the seventh record?
BaPmNd

total energy of number 1 (Ba2Nd2Pd15)?
-5.259 eV per atom